Record 1
Density functional theory data (SCAN) for a PBEsol-optimized structure of LaCu2Pt2. Values from VASP.

Total magnetic moment ... 0.000 μB per formula unit
Crystal system ... tetragonal
Energy relative to the elements ... -0.6761 eV per atom
D(E_F) ... 0.3110 states/eV/atom
Space-group type ... I4/mmm

The structure in Quantum ESPRESSO input format:
```
&SYSTEM
  ibrav = 0, nat = 5, ntyp = 3
/
ATOMIC_SPECIES
Pt 195.08 Pt.upf
Cu 63.55 Cu.upf
La 138.91 La.upf
CELL_PARAMETERS angstrom
3.914 0.000 0.000
0.000 3.914 0.000
-1.957 -1.957 5.851
ATOMIC_POSITIONS crystal
Pt 0.612 0.612 0.224
Cu 0.250 0.750 0.500
La 0.000 0.000 0.000
Cu 0.750 0.250 0.500
Pt 0.388 0.388 0.776
```



Record 2
Density functional theory data (SCAN) for a PBEsol-optimized structure of Al2RhW. Values from VASP.

Total magnetic moment ... 0.000 μB per formula unit
Crystal system ... trigonal
Energy relative to the elements ... -0.4015 eV per atom
D(E_F) ... 0.4749 states/eV/atom
Space-group type ... R-3m

The structure in Quantum ESPRESSO input format:
```
&SYSTEM
  ibrav = 0, nat = 4, ntyp = 3
/
ATOMIC_SPECIES
W 183.84 W.upf
Al 26.98 Al.upf
Rh 102.91 Rh.upf
CELL_PARAMETERS angstrom
-0.233 1.510 -2.357
-2.501 0.281 -1.246
-2.430 7.584 3.427
ATOMIC_POSITIONS crystal
W 0.500 0.500 0.500
Al 0.255 0.255 0.234
Rh 0.000 0.000 0.000
Al 0.745 0.745 0.766
```



Record 3
Density functional theory data (SCAN) for a PBEsol-optimized structure of HgSb2Pt. Values from VASP.

Total magnetic moment ... 0.000 μB per formula unit
Crystal system ... orthorhombic
D(E_F) ... 0.3898 states/eV/atom
ΔE_f (raw) ... 0.23 eV per atom
Space-group type ... Cmmm

The structure in Quantum ESPRESSO input format:
```
&SYSTEM
  ibrav = 0, nat = 4, ntyp = 3
/
ATOMIC_SPECIES
Sb 121.76 Sb.upf
Hg 200.59 Hg.upf
Pt 195.08 Pt.upf
CELL_PARAMETERS angstrom
-1.466 -2.823 -2.101
-2.348 -1.679 3.896
-3.070 3.133 -2.068
ATOMIC_POSITIONS crystal
Sb 0.000 0.000 0.500
Hg 0.500 0.000 0.000
Pt 0.500 0.500 0.500
Sb 0.000 0.500 0.000
```